No. 1
Material: La2Pr6Sm3In
Method: DFT, PBE
State: optimized geometry

a b c (Å): 6.3079 6.3079 12.1197
angles (deg): 95.03 95.03 120.09
Positions (direct):
La (0.3337, 0.6663, 0.0000)
La (0.6663, 0.3337, 0.0000)
Pr (0.9173, 0.5934, 0.7510)
Pr (0.7595, 0.7595, 0.2503)
Pr (0.0827, 0.4066, 0.2490)
Pr (0.5934, 0.9173, 0.7510)
Pr (0.2405, 0.2405, 0.7497)
Pr (0.4066, 0.0827, 0.2490)
Sm (0.1683, 0.8317, 0.5000)
Sm (0.8317, 0.1683, 0.5000)
Sm (0.5000, 0.5000, 0.5000)
In (0.0000, 0.0000, 0.0000)

The total energy comes out at -4.680 eV/atom. As for the space group: No. 12.

=====

No. 2
Material: SiNiSe4
Method: DFT, PBE
State: optimized geometry

a b c (Å): 5.6009 5.6009 5.6009
angles (deg): 60.00 60.00 60.00
Each line ends with the local moment (μB).
Positions (direct):
Si (0.2500, 0.2500, 0.2500)  -0.03
Ni (0.0000, 0.0000, 0.0000)  0.69
Se (0.6255, 0.6255, 0.1234)  0.03
Se (0.6255, 0.1234, 0.6255)  0.03
Se (0.6255, 0.6255, 0.6255)  0.03
Se (0.1234, 0.6255, 0.6255)  0.03

As for the formation energy (no corrections): 0.999 eV per atom. The total energy comes out at -3.191 eV/atom. As for the space group: No. 216.

=====

No. 3
Material: LiCe2NpSe6
Method: DFT, PBE
State: optimized geometry

a b c (Å): 6.9234 6.5503 6.5503
angles (deg): 90.00 90.00 90.00
Each line ends with the local moment (μB).
Positions (direct):
Li (0.5316, 0.0000, 0.0000)  -0.01
Ce (0.0050, 0.5000, 0.0000)  0.69
Ce (0.0050, 0.0000, 0.5000)  0.69
Np (0.5772, 0.5000, 0.5000)  3.24
Se (0.7468, 0.2395, 0.2395)  -0.12
Se (0.7468, 0.2395, 0.7605)  -0.12
Se (0.1704, 0.5000, 0.5000)  -0.05
Se (0.1706, 0.0000, 0.0000)  -0.05
Se (0.7468, 0.7605, 0.7605)  -0.12
Se (0.7468, 0.7605, 0.2395)  -0.12

As for the formation energy (no corrections): -1.145 eV per atom. The total energy comes out at -5.908 eV/atom. As for the space group: No. 99.

=====

No. 4
Material: KSiIrI2
Method: DFT, PBE
State: optimized geometry

a b c (Å): 5.8603 4.5363 5.8603
angles (deg): 90.00 90.00 90.00
Positions (direct):
I (0.0000, 0.0000, 0.5000)
I (0.5000, 0.0000, 0.0000)
K (0.5000, 0.5000, 0.5000)
Ir (0.0000, 0.0000, 0.0000)
Si (0.0000, 0.5000, 0.0000)

As for the formation energy (no corrections): -0.232 eV per atom. The total energy comes out at -3.929 eV/atom. As for the space group: No. 123.